Record 1
A plane-wave DFT calculation with PBE was carried out for an optimized crystal structure of Pm5Ag2Hg.

**D(E_F)**: 1.28 states/eV per atom
**Energy relative to the elements**: -0.22 eV per atom
**Total magnetization**: 0.000 μB/atom

Structure (POSCAR):
```
Pm5Ag2Hg
1.0
-4.202 4.202 6.490
4.202 -4.202 6.490
4.202 4.202 -6.490
Pm Ag Hg
10 4 2
Direct
0.000 0.000 0.000 Pm
0.007 0.507 0.812 Pm
0.194 0.007 0.500 Pm
0.306 0.806 0.812 Pm
0.493 0.306 0.500 Pm
0.500 0.500 0.000 Pm
0.507 0.694 0.500 Pm
0.694 0.194 0.188 Pm
0.806 0.993 0.500 Pm
0.993 0.493 0.188 Pm
0.131 0.369 0.500 Ag
0.369 0.869 0.237 Ag
0.631 0.131 0.763 Ag
0.869 0.631 0.500 Ag
0.250 0.250 0.000 Hg
0.750 0.750 0.000 Hg
```


Record 2
A plane-wave DFT calculation with PBE was carried out for an optimized crystal structure of Pm4AgHg7.

**D(E_F)**: 0.59 states/eV per atom
**Energy relative to the elements**: -0.39 eV per atom
**Relative energy among the computed polymorphs**: 0.00 eV per formula unit
**Total magnetization**: 0.000 μB/atom

Structure (POSCAR):
```
Pm4AgHg7
1.0
5.201 0.000 0.000
-2.219 7.347 0.000
-1.480 -3.668 8.200
Pm Ag Hg
4 1 7
Direct
0.000 0.000 0.000 Pm
0.065 0.305 0.503 Pm
0.495 0.496 0.997 Pm
0.565 0.808 0.504 Pm
0.217 0.050 0.690 Ag
0.027 0.446 0.184 Hg
0.038 0.864 0.324 Hg
0.345 0.767 0.813 Hg
0.527 0.942 0.188 Hg
0.535 0.361 0.314 Hg
0.723 0.547 0.689 Hg
0.833 0.246 0.808 Hg
```


Record 3
A plane-wave DFT calculation with PBE was carried out for an optimized crystal structure of Pm2Ag3Hg2.

**D(E_F)**: 0.84 states/eV per atom
**Energy relative to the elements**: -0.30 eV per atom
**Total magnetization**: 0.000 μB/atom

Structure (POSCAR):
```
Pm2Ag3Hg2
1.0
5.271 -2.298 0.000
5.271 2.298 0.000
-2.279 0.000 6.860
Pm Ag Hg
2 3 2
Direct
0.130 0.130 0.258 Pm
0.870 0.870 0.742 Pm
0.390 0.390 0.075 Ag
0.500 0.500 0.500 Ag
0.610 0.610 0.925 Ag
0.166 0.166 0.708 Hg
0.834 0.834 0.292 Hg
```